Record 1
A plane-wave DFT calculation with PBE was carried out for a relaxed structure of LiBiPdRh.

a b c (Å): 4.217 4.217 7.493
angles (deg): 90.00 90.00 90.00
Atoms (fractional coordinates):
Li 0.000 0.000 0.000
Li 0.500 0.500 0.500
Bi 0.000 0.000 0.500
Bi 0.500 0.500 0.000
Pd 0.000 0.500 0.250
Pd 0.500 0.000 0.750
Rh 0.000 0.500 0.750
Rh 0.500 0.000 0.250

## Properties
- E above lowest polymorph (meV per atom) = 0
- DFT total energy (eV per atom) = -4.930
- total magnetization (μB per formula unit) = 0.00
- density (g cm⁻³) = 10.60
- energy of formation from the pure elements (eV per atom) = -0.345

***

Record 2
A plane-wave DFT calculation with PBE was carried out for a relaxed structure of LiBiPdRh2.

a b c (Å): 4.352 4.352 4.270
angles (deg): 90.00 90.00 90.00
Atoms (fractional coordinates):
Li 0.000 0.000 0.000
Bi 0.500 0.500 0.500
Pd 0.000 0.000 0.500
Rh 0.000 0.500 0.000
Rh 0.500 0.000 0.000

## Properties
- DFT total energy (eV per atom) = -4.854
- total magnetization (μB per formula unit) = 0.00
- density (g cm⁻³) = 10.85
- energy of formation from the pure elements (eV per atom) = 0.284

***

Record 3
A plane-wave DFT calculation with PBE was carried out for a relaxed structure of LiScBiPd2.

a b c (Å): 4.857 4.857 5.585
angles (deg): 90.00 90.00 90.00
Atoms (fractional coordinates):
Li 0.000 0.000 0.000
Sc 0.500 0.500 0.500
Bi 0.500 0.500 0.000
Pd 0.000 0.500 0.500
Pd 0.500 0.000 0.500

## Properties
- DFT total energy (eV per atom) = -4.313
- total magnetization (μB per formula unit) = 0.00
- density (g cm⁻³) = 5.97
- energy of formation from the pure elements (eV per atom) = 0.190

***

Record 4
A plane-wave DFT calculation with PBE was carried out for a relaxed structure of LiBiPd2Se.

a b c (Å): 4.608 4.608 4.435
angles (deg): 90.00 90.00 90.00
Atoms (fractional coordinates):
Li 0.000 0.000 0.000
Bi 0.500 0.500 0.500
Pd 0.000 0.500 0.000
Pd 0.500 0.000 0.000
Se 0.000 0.000 0.500

## Properties
- DFT total energy (eV per atom) = -3.947
- energy relative to the elements, uncorrected (eV/f.u.) = -0.07
- total magnetization (μB per formula unit) = 0.00
- density (g cm⁻³) = 8.95